[1]
Here is a geometry-optimized Ac2BiSb structure from the Alexandria database. Energies are from PBE-GGA.

a b c (Å): 10.820 10.820 8.379
angles (deg): 104.97 104.97 126.84
Fractional coordinates of all 16 atoms:
Ac (0.061, 0.436, 0.746)
Ac (0.181, 0.306, 0.246)
Ac (0.306, 0.181, 0.746)
Ac (0.436, 0.061, 0.246)
Ac (0.564, 0.939, 0.754)
Ac (0.694, 0.819, 0.254)
Ac (0.819, 0.694, 0.754)
Ac (0.939, 0.564, 0.254)
Bi (0.313, 0.687, 0.250)
Bi (0.438, 0.562, 0.750)
Bi (0.562, 0.438, 0.250)
Bi (0.687, 0.313, 0.750)
Sb (0.063, 0.937, 0.250)
Sb (0.188, 0.812, 0.750)
Sb (0.812, 0.188, 0.250)
Sb (0.937, 0.063, 0.750)

Computed properties:
energy relative to the lowest polymorph listed for this composition	0.2	kJ/mol of atoms
space-group type	C2/c, No. 15

[2]
Here is a geometry-optimized Ac2BiSb3 structure from the Alexandria database. Energies are from PBE-GGA.

a b c (Å): 8.176 8.176 8.176
angles (deg): 146.33 131.62 60.24
Fractional coordinates of all 6 atoms:
Ac (0.168, 0.168, 0.000)
Ac (0.832, 0.832, 0.000)
Bi (0.500, 0.500, 0.000)
Sb (0.000, 0.500, 0.500)
Sb (0.340, 0.840, 0.500)
Sb (0.660, 0.160, 0.500)

Computed properties:
space-group type	Immm, No. 71
DFT total energy	-0.17618	Ha/atom

[3]
Here is a geometry-optimized AcBi4Sb structure from the Alexandria database. Energies are from PBE-GGA.

a b c (Å): 6.574 6.574 6.574
angles (deg): 60.00 60.00 60.00
Fractional coordinates of all 6 atoms:
Ac (0.000, 0.000, 0.000)
Bi (0.128, 0.624, 0.624)
Bi (0.624, 0.128, 0.624)
Bi (0.624, 0.624, 0.128)
Bi (0.624, 0.624, 0.624)
Sb (0.250, 0.250, 0.250)

Computed properties:
space-group type	F-43m, No. 216
DFT total energy	-0.15042	Ha/atom

[4]
Here is a geometry-optimized AcBi2Sb2 structure from the Alexandria database. Energies are from PBE-GGA.

a b c (Å): 14.551 14.551 4.953
angles (deg): 90.00 90.00 162.01
Fractional coordinates of all 10 atoms:
Ac (0.160, 0.840, 0.750)
Ac (0.840, 0.160, 0.250)
Bi (0.061, 0.939, 0.250)
Bi (0.461, 0.539, 0.250)
Bi (0.539, 0.461, 0.750)
Bi (0.939, 0.061, 0.750)
Sb (0.248, 0.752, 0.250)
Sb (0.360, 0.640, 0.750)
Sb (0.640, 0.360, 0.250)
Sb (0.752, 0.248, 0.750)

Computed properties:
space-group type	Cmcm, No. 63
DFT total energy	-0.16387	Ha/atom

[5]
Here is a geometry-optimized AcBi2Sb structure from the Alexandria database. Energies are from PBE-GGA.

a b c (Å): 4.948 4.948 5.275
angles (deg): 90.00 90.00 90.00
Fractional coordinates of all 4 atoms:
Ac (0.000, 0.000, 0.000)
Bi (0.000, 0.500, 0.500)
Bi (0.500, 0.000, 0.500)
Sb (0.500, 0.500, 0.000)

Computed properties:
energy relative to the lowest polymorph listed for this composition	0.0	kJ/mol of atoms
space-group type	P4/mmm, No. 123

[6]
Here is a geometry-optimized Ac4BiSb2 structure from the Alexandria database. Energies are from PBE-GGA.

a b c (Å): 9.126 9.126 9.121
angles (deg): 109.00 109.00 110.42
Fractional coordinates of all 14 atoms:
Ac (0.131, 0.694, 0.938)
Ac (0.243, 0.306, 0.437)
Ac (0.306, 0.243, 0.937)
Ac (0.306, 0.869, 0.562)
Ac (0.694, 0.131, 0.438)
Ac (0.694, 0.757, 0.063)
Ac (0.757, 0.694, 0.563)
Ac (0.869, 0.306, 0.062)
Bi (0.375, 0.625, 0.250)
Bi (0.625, 0.375, 0.750)
Sb (0.000, 0.000, 0.000)
Sb (0.000, 0.000, 0.500)
Sb (0.000, 0.500, 0.500)
Sb (0.500, 0.000, 0.000)

Computed properties:
space-group type	C2/c, No. 15
DFT total energy	-0.17994	Ha/atom